# KTlZn2 (SCAN, PBEsol geometry)
data_KTlZn2
_cell_length_a 4.8349
_cell_length_b 4.8349
_cell_length_c 4.2648
_cell_angle_alpha 90.00
_cell_angle_beta 90.00
_cell_angle_gamma 90.00
_symmetry_space_group_name_H-M 'P 4/m m m'
_symmetry_Int_Tables_number 123
_symmetry_space_group_name_Hall '-P 4 2'
loop_
_atom_site_label
_atom_site_type_symbol
_atom_site_fract_x
_atom_site_fract_y
_atom_site_fract_z
K1 K 0.0000 0.0000 0.0000
Tl1 Tl 0.5000 0.5000 0.0000
Zn1 Zn 0.0000 0.5000 0.5000
# Excess energy over the best structure of this formula in the dataset = 232.5 meV/atom
# DFT formation energy = 0.266 eV per atom

# ZrHgP2 (SCAN, PBEsol geometry)
data_ZrHgP2
_cell_length_a 3.7814
_cell_length_b 3.7814
_cell_length_c 9.7812
_cell_angle_alpha 90.00
_cell_angle_beta 90.00
_cell_angle_gamma 90.00
_symmetry_space_group_name_H-M 'I -4 m 2'
_symmetry_Int_Tables_number 119
_symmetry_space_group_name_Hall 'I -4 -2'
loop_
_atom_site_label
_atom_site_type_symbol
_atom_site_fract_x
_atom_site_fract_y
_atom_site_fract_z
Zr1 Zr 0.0000 0.0000 0.0000
Hg1 Hg 0.0000 0.5000 0.2500
P1 P 0.0000 0.0000 0.5000
P2 P 0.0000 0.5000 0.7500
# DFT formation energy = -0.250 eV per atom

# BaCd2Ag2 (SCAN, PBEsol geometry)
data_BaCd2Ag2
_cell_length_a 4.5468
_cell_length_b 4.5468
_cell_length_c 12.2277
_cell_angle_alpha 90.00
_cell_angle_beta 90.00
_cell_angle_gamma 90.00
_symmetry_space_group_name_H-M 'I 4/m m m'
_symmetry_Int_Tables_number 139
_symmetry_space_group_name_Hall '-I 4 2'
loop_
_atom_site_label
_atom_site_type_symbol
_atom_site_fract_x
_atom_site_fract_y
_atom_site_fract_z
Ba1 Ba 0.0000 0.0000 0.0000
Cd1 Cd 0.0000 0.5000 0.2500
Ag1 Ag 0.0000 0.0000 0.3876
# DFT formation energy = -0.251 eV per atom

# KAl2Br7 (SCAN, PBEsol geometry)
data_KAl2Br7
_cell_length_a 10.6415
_cell_length_b 10.8581
_cell_length_c 14.3200
_cell_angle_alpha 90.00
_cell_angle_beta 123.93
_cell_angle_gamma 90.00
_symmetry_space_group_name_H-M 'P 1 21/c 1'
_symmetry_Int_Tables_number 14
loop_
_symmetry_equiv_pos_as_xyz
'x,y,z'
'-x,-y,-z'
'-x,y+1/2,-z+1/2'
'x,-y+1/2,z+1/2'
loop_
_atom_site_label
_atom_site_type_symbol
_atom_site_fract_x
_atom_site_fract_y
_atom_site_fract_z
K1 K 0.1002 0.1160 0.3763
Al1 Al 0.1796 0.7241 0.4584
Al2 Al 0.3871 0.2142 0.7929
Br1 Br 0.0215 0.0911 0.1159
Br2 Br 0.1700 0.6194 0.0623
Br3 Br 0.2027 0.1026 0.7918
Br4 Br 0.2126 0.7048 0.8234
Br5 Br 0.3719 0.2279 0.6280
Br6 Br 0.3873 0.5887 0.5854
Br7 Br 0.4253 0.1008 0.3813
# Uncorrected formation energy = -1408 meV per atom

# Mg2AlSe (SCAN, PBEsol geometry)
data_Mg2AlSe
_cell_length_a 5.8220
_cell_length_b 7.8906
_cell_length_c 3.4988
_cell_angle_alpha 90.00
_cell_angle_beta 90.00
_cell_angle_gamma 90.00
_symmetry_space_group_name_H-M 'C m m m'
_symmetry_Int_Tables_number 65
_symmetry_space_group_name_Hall '-C 2 2'
loop_
_atom_site_label
_atom_site_type_symbol
_atom_site_fract_x
_atom_site_fract_y
_atom_site_fract_z
Mg1 Mg 0.2500 0.2500 0.0000
Al1 Al 0.0000 0.0000 0.5000
Se1 Se 0.0000 0.5000 0.5000
# Uncorrected formation energy = -237 meV per atom

# BaReIr3 (SCAN, PBEsol geometry)
data_BaReIr3
_cell_length_a 4.8097
_cell_length_b 4.8097
_cell_length_c 4.8097
_cell_angle_alpha 90.00
_cell_angle_beta 90.00
_cell_angle_gamma 90.00
_symmetry_space_group_name_H-M 'P m -3 m'
_symmetry_Int_Tables_number 221
_symmetry_space_group_name_Hall '-P 4 2 3'
loop_
_atom_site_label
_atom_site_type_symbol
_atom_site_fract_x
_atom_site_fract_y
_atom_site_fract_z
Ba1 Ba 0.0000 0.0000 0.0000
Re1 Re 0.5000 0.5000 0.5000
Ir1 Ir 0.0000 0.5000 0.5000
# Excess energy over the best structure of this formula in the dataset = 0.0 meV/atom
# DFT formation energy = 0.762 eV per atom

Number 1: theoretical density 6.2 g/cm³. Number 2: theoretical density 8.4 g/cm³. Number 3: theoretical density 7.6 g/cm³. Number 4: theoretical density 3.2 g/cm³. Number 5: theoretical density 3.2 g/cm³. Number 6: theoretical density 13.4 g/cm³.